This record from the Alexandria database describes a relaxed Ce5Te4P crystal. The functional is PBE.

Output
- ΔE_f (raw): -1.383 eV per atom
- Crystal system: tetragonal
- E_tot: -0.4519 Ry/atom

Cell lengths 9.8638, 9.8638, 6.2527 Å; angles 90.00, 90.00, 90.00 degrees
Space group I4/m (No. 87)
Asymmetric unit:
Ce1 0.0000 0.0000 0.0000 (multiplicity 2)
Ce2 0.0969 0.7244 0.5000 (multiplicity 8)
Te1 0.0910 0.6944 0.0000 (multiplicity 8)
P1 0.0000 0.0000 0.5000 (multiplicity 2)



This record from the Alexandria database describes a relaxed Ce7Te4P4 crystal. The functional is PBE.

Output
- ΔE_f (raw): -1.275 eV per atom
- Crystal system: tetragonal
- E_tot: -0.4648 Ry/atom

Cell lengths 15.0964, 15.0964, 7.2117 Å; angles 90.00, 90.00, 90.00 degrees
Space group I4/mmm (No. 139)
Asymmetric unit:
Ce1 0.0000 0.0000 0.2467 (multiplicity 4)
Ce2 0.0000 0.2870 0.0000 (multiplicity 8)
Ce3 0.0000 0.3794 0.5000 (multiplicity 8)
Ce4 0.2128 0.2128 0.5000 (multiplicity 8)
Te1 0.0000 0.1764 0.5000 (multiplicity 8)
Te2 0.1301 0.1301 0.0000 (multiplicity 8)
P1 0.1452 0.3548 0.2500 (multiplicity 16)



This record from the Alexandria database describes a relaxed CeThTe2P crystal. The functional is PBE.

Output
- ΔE_f (raw): -1.211 eV per atom
- Crystal system: tetragonal
- E_tot: -0.4572 Ry/atom

Cell lengths 4.3560, 4.3560, 15.6305 Å; angles 90.00, 90.00, 90.00 degrees
Space group P4/nmm (No. 129, origin choice 2)
Asymmetric unit:
Ce1 0.2500 0.2500 0.0889 (multiplicity 2)
Th1 0.2500 0.2500 0.6210 (multiplicity 2)
Te1 0.2500 0.2500 0.2969 (multiplicity 2)
Te2 0.2500 0.2500 0.8820 (multiplicity 2)
P1 0.2500 0.7500 0.5000 (multiplicity 2)



Question: The lowest E_tot belongs to which entry?
Answer: Ce7Te4P4